1.
# SrSb2Ru

SrSb2Ru after structural relaxation (PBE-GGA, Alexandria via LeMat-Bulk).

Structure (POSCAR):
```
SrSb2Ru
1.0
4.490 -0.057 0.046
2.295 3.859 0.046
2.201 1.233 5.877
Ru Sb Sr
1 2 1
direct
0.250 0.250 0.250
0.969 0.969 0.094
0.531 0.531 0.406
0.750 0.750 0.750
```

2.
# SrSb2Ru

SrSb2Ru after structural relaxation (PBE-GGA, Alexandria via LeMat-Bulk).

Structure (POSCAR):
```
SrSb2Ru
1.0
9.608 0.013 0.008
8.908 3.600 0.008
8.908 1.738 3.153
Ru Sb Sr
1 2 1
direct
0.739 0.739 0.739
0.020 0.020 0.020
0.253 0.253 0.253
0.488 0.488 0.488
```

3.
# SrSb2Ru

SrSb2Ru after structural relaxation (PBE-GGA, Alexandria via LeMat-Bulk).

Structure (POSCAR):
```
SrSb2Ru
1.0
-2.887 1.145 1.418
-1.822 -1.899 -2.175
0.140 -6.088 5.200
Ru Sb Sr
1 2 1
direct
0.500 0.500 0.750
0.000 0.000 0.945
0.000 0.000 0.555
0.500 0.500 0.250
```

| no. | formation energy from raw total energies (eV per atom) |
| --- | --- |
| 1 | -0.418 |
| 2 | 0.130 |
| 3 | -0.206 |